Entry 1:
# Rb2HfSbS5

Rb2HfSbS5 after structural relaxation (PBE, the Alexandria database).

Properties
- crystal system = orthorhombic
- space group = No. 36
- uncorrected formation energy (eV/atom) = -0.968
- raw total energy (eV per cell) = -90.7

Lattice parameters (Å, degrees): 9.7136 9.7136 14.1799 90.00 90.00 155.35
Element x y z (fractional)
Rb1 0.1190 0.8810 0.5000
Rb2 0.1370 0.8630 0.1454
Rb3 0.8630 0.1370 0.6454
Rb4 0.8810 0.1190 0.0000
Hf1 0.2119 0.7881 0.8608
Hf2 0.7881 0.2119 0.3608
Sb1 0.4403 0.5597 0.2643
Sb2 0.5597 0.4403 0.7643
S1 0.0604 0.9396 0.8645
S2 0.2970 0.7030 0.4666
S3 0.3132 0.6868 0.2306
S4 0.3316 0.6684 0.8275
S5 0.4958 0.5042 0.1166
S6 0.5042 0.4958 0.6166
S7 0.6684 0.3316 0.3275
S8 0.6868 0.3132 0.7306
S9 0.7030 0.2970 0.9666
S10 0.9396 0.0604 0.3645

=====

Entry 2:
# SrCaOsW2

SrCaOsW2 after structural relaxation (PBE, the Alexandria database).

Properties
- crystal system = tetragonal
- space group = No. 123
- raw total energy (eV per cell) = -27.1
- E_form (eV per atom) = 2.745

Lattice parameters (Å, degrees): 4.8426 4.8426 4.9932 90.00 90.00 90.00
Element x y z (fractional)
Sr1 0.0000 0.0000 0.0000
Ca1 0.5000 0.5000 0.5000
Os1 0.5000 0.5000 0.0000
W1 0.0000 0.5000 0.5000
W2 0.5000 0.0000 0.5000

=====

Entry 3:
# CdAsSeN2

CdAsSeN2 after structural relaxation (PBE, the Alexandria database).

Properties
- crystal system = tetragonal
- space group = No. 123
- uncorrected formation energy (eV/atom) = 1.047
- energy above the most stable polymorph in this dataset (eV per formula unit) = 0.00
- raw total energy (eV per cell) = -20.5

Lattice parameters (Å, degrees): 3.7643 3.7643 6.2897 90.00 90.00 90.00
Element x y z (fractional)
Cd1 0.0000 0.0000 0.0000
As1 0.5000 0.5000 0.5000
Se1 0.5000 0.5000 0.0000
N1 0.0000 0.5000 0.5000
N2 0.5000 0.0000 0.5000

=====

Entry 4:
# CaLa8Pr2

CaLa8Pr2 after structural relaxation (PBE, the Alexandria database).

Properties
- crystal system = monoclinic
- space group = No. 12
- raw total energy (eV per cell) = -50.7
- E_form (eV per atom) = 0.023

Lattice parameters (Å, degrees): 9.8946 9.8946 8.3657 104.46 104.46 31.15
Element x y z (fractional)
Ca1 0.0000 0.0000 0.0000
La1 0.0921 0.0921 0.4620
La2 0.1834 0.1834 0.9103
La3 0.3586 0.3586 0.8102
La4 0.4525 0.4525 0.2833
La5 0.5475 0.5475 0.7167
La6 0.6414 0.6414 0.1898
La7 0.8166 0.8166 0.0897
La8 0.9079 0.9079 0.5380
Pr1 0.2728 0.2728 0.3630
Pr2 0.7272 0.7272 0.6370